The following is a DFT calculation (PBE) of a relaxed FeTe2Pb crystal.

Summary:
The volume is 28.17 Å³/atom. The value obtained for the total energy is -4.1222 eV per atom. As for the uncorrected formation energy: 0.4914 eV/atom.

The structure in CIF format:
```
data_FeTe2Pb
_chemical_formula_sum 'Fe3 Te6 Pb3'
_space_group_name_H-M_alt 'R -3 m'
_space_group_IT_number 166
_space_group_name_Hall '-R 3 2"'
_cell_length_a 3.2865
_cell_length_b 3.2865
_cell_length_c 36.1332
_cell_angle_alpha 90.00
_cell_angle_beta 90.00
_cell_angle_gamma 120.00
loop_
_atom_site_label
_atom_site_type_symbol
_atom_site_fract_x
_atom_site_fract_y
_atom_site_fract_z
Fe1 Fe 0.0000 0.0000 0.0000
Te1 Te 0.0000 0.0000 0.0701
Pb1 Pb 0.0000 0.0000 0.5000
```

=====

The following is a DFT calculation (PBE) of a relaxed SrAcHgIr crystal.

Summary:
The volume is 27.82 Å³/atom. The value obtained for the total energy is -4.0649 eV per atom. As for the formation energy: -0.327 eV per atom.

The structure in CIF format:
```
data_SrAcHgIr
_chemical_formula_sum 'Sr4 Ac4 Hg4 Ir4'
_space_group_name_H-M_alt 'F -4 3 m'
_space_group_IT_number 216
_space_group_name_Hall 'F -4 2 3'
_cell_length_a 7.6354
_cell_length_b 7.6354
_cell_length_c 7.6354
_cell_angle_alpha 90.00
_cell_angle_beta 90.00
_cell_angle_gamma 90.00
loop_
_atom_site_label
_atom_site_type_symbol
_atom_site_fract_x
_atom_site_fract_y
_atom_site_fract_z
Sr1 Sr 0.0000 0.0000 0.0000
Ac1 Ac 0.0000 0.0000 0.5000
Hg1 Hg 0.2500 0.2500 0.2500
Ir1 Ir 0.2500 0.2500 0.7500
```

=====

The following is a DFT calculation (PBE) of a relaxed ReRh4 crystal.

Summary:
The volume is 14.26 Å³/atom. The value obtained for the total energy is -8.4308 eV per atom. As for the formation energy: -0.060 eV per atom. The offset from the most stable computed form comes out at 2 meV/atom.

The structure in CIF format:
```
data_ReRh4
_chemical_formula_sum 'Re4 Rh16'
_space_group_name_H-M_alt 'C 1 2 1'
_space_group_IT_number 5
_space_group_name_Hall 'C 2y'
_cell_length_a 9.2065
_cell_length_b 4.7401
_cell_length_c 7.0114
_cell_angle_alpha 90.00
_cell_angle_beta 111.25
_cell_angle_gamma 90.00
loop_
_atom_site_label
_atom_site_type_symbol
_atom_site_fract_x
_atom_site_fract_y
_atom_site_fract_z
Re1 Re 0.1021 0.0000 0.2044
Rh1 Rh 0.0000 0.4897 0.0000
Rh2 Rh 0.0000 0.8329 0.5000
Rh3 Rh 0.1002 0.3332 0.6985
Rh4 Rh 0.1954 0.8317 0.9033
Rh5 Rh 0.1979 0.4966 0.3954
```

=====

The following is a DFT calculation (PBE) of a relaxed CeU2PdS5 crystal.

Summary:
The volume is 19.30 Å³/atom. The value obtained for the total energy is -7.3613 eV per atom. As for the uncorrected formation energy: -1.3235 eV/atom.

The structure in CIF format:
```
data_CeU2PdS5
_chemical_formula_sum 'Ce4 U8 Pd4 S20'
_space_group_name_H-M_alt 'I 4/m c m'
_space_group_IT_number 140
_space_group_name_Hall '-I 4 2c'
_cell_length_a 7.2851
_cell_length_b 7.2851
_cell_length_c 13.0931
_cell_angle_alpha 90.00
_cell_angle_beta 90.00
_cell_angle_gamma 90.00
loop_
_atom_site_label
_atom_site_type_symbol
_atom_site_fract_x
_atom_site_fract_y
_atom_site_fract_z
Ce1 Ce 0.0000 0.0000 0.2500
U1 U 0.1197 0.3803 0.0000
Pd1 Pd 0.0000 0.5000 0.2500
S1 S 0.0000 0.0000 0.0000
S2 S 0.1808 0.3192 0.3623
```

=====

The following is a DFT calculation (PBE) of a relaxed Sm4Ga16Ni3 crystal.

Summary:
The volume is 18.30 Å³/atom. The value obtained for the total energy is -4.1987 eV per atom. As for the formation energy: -0.518 eV per atom.

The structure in CIF format:
```
data_Sm4Ga16Ni3
_chemical_formula_sum 'Sm4 Ga16 Ni3'
_space_group_name_H-M_alt 'P 4/m m m'
_space_group_IT_number 123
_space_group_name_Hall '-P 4 2'
_cell_length_a 6.1437
_cell_length_b 6.1437
_cell_length_c 11.1538
_cell_angle_alpha 90.00
_cell_angle_beta 90.00
_cell_angle_gamma 90.00
loop_
_atom_site_label
_atom_site_type_symbol
_atom_site_fract_x
_atom_site_fract_y
_atom_site_fract_z
Sm1 Sm 0.0000 0.5000 0.1937
Ga1 Ga 0.0000 0.0000 0.1984
Ga2 Ga 0.2173 0.2173 0.0000
Ga3 Ga 0.2459 0.2459 0.3832
Ga4 Ga 0.5000 0.5000 0.2260
Ni1 Ni 0.0000 0.5000 0.5000
Ni2 Ni 0.5000 0.5000 0.0000
```

=====

The following is a DFT calculation (PBE) of a relaxed Li3AlAg4 crystal.

Summary:
The volume is 15.91 Å³/atom. The value obtained for the total energy is -2.8289 eV per atom. As for the formation energy: -0.218 eV per atom. The offset from the most stable computed form comes out at 0 meV/atom.

The structure in CIF format:
```
data_Li3AlAg4
_chemical_formula_sum 'Li6 Al2 Ag8'
_space_group_name_H-M_alt 'C 1 2/m 1'
_space_group_IT_number 12
_space_group_name_Hall '-C 2y'
_cell_length_a 6.5011
_cell_length_b 6.4176
_cell_length_c 6.8942
_cell_angle_alpha 90.00
_cell_angle_beta 117.75
_cell_angle_gamma 90.00
loop_
_atom_site_label
_atom_site_type_symbol
_atom_site_fract_x
_atom_site_fract_y
_atom_site_fract_z
Li1 Li 0.0000 0.0000 0.0000
Li2 Li 0.2464 0.5000 0.4943
Al1 Al 0.0000 0.5000 0.0000
Ag1 Ag 0.1250 0.2494 0.7497
```

=====

The following is a DFT calculation (PBE) of a relaxed TbHo3Mg7 crystal.

Summary:
The volume is 28.59 Å³/atom. The value obtained for the total energy is -2.4867 eV per atom. As for the formation energy: 0.197 eV per atom.

The structure in CIF format:
```
data_TbHo3Mg7
_chemical_formula_sum 'Tb2 Ho6 Mg14'
_space_group_name_H-M_alt 'C 1 2/m 1'
_space_group_IT_number 12
_space_group_name_Hall '-C 2y'
_cell_length_a 10.7242
_cell_length_b 10.1441
_cell_length_c 6.0702
_cell_angle_alpha 90.00
_cell_angle_beta 107.72
_cell_angle_gamma 90.00
loop_
_atom_site_label
_atom_site_type_symbol
_atom_site_fract_x
_atom_site_fract_y
_atom_site_fract_z
Tb1 Tb 0.0000 0.0000 0.0000
Ho1 Ho 0.0000 0.3081 0.5000
Ho2 Ho 0.0000 0.5000 0.0000
Mg1 Mg 0.0000 0.0000 0.5000
Mg2 Mg 0.1932 0.2567 0.1901
Mg3 Mg 0.2376 0.5000 0.5198
```

=====

The following is a DFT calculation (PBE) of a relaxed KCr2Cl crystal.

Summary:
The volume is 27.62 Å³/atom. The value obtained for the total energy is -4.8302 eV per atom. As for the uncorrected formation energy: 0.7175 eV/atom. The offset from the most stable computed form comes out at 712 meV/atom.

The structure in CIF format:
```
data_KCr2Cl
_chemical_formula_sum 'K1 Cr2 Cl1'
_space_group_name_H-M_alt 'P m m m'
_space_group_IT_number 47
_space_group_name_Hall '-P 2 2'
_cell_length_a 3.3371
_cell_length_b 5.6501
_cell_length_c 5.8591
_cell_angle_alpha 90.00
_cell_angle_beta 90.00
_cell_angle_gamma 90.00
loop_
_atom_site_label
_atom_site_type_symbol
_atom_site_fract_x
_atom_site_fract_y
_atom_site_fract_z
K1 K 0.0000 0.0000 0.0000
Cr1 Cr 0.5000 0.5000 0.2540
Cl1 Cl 0.0000 0.0000 0.5000
```

=====

Repeat the second record exactly.
The following is a DFT calculation (PBE) of a relaxed SrAcHgIr crystal.

Summary:
The volume is 27.82 Å³/atom. The value obtained for the total energy is -4.0649 eV per atom. As for the formation energy: -0.327 eV per atom.

The structure in CIF format:
```
data_SrAcHgIr
_chemical_formula_sum 'Sr4 Ac4 Hg4 Ir4'
_space_group_name_H-M_alt 'F -4 3 m'
_space_group_IT_number 216
_space_group_name_Hall 'F -4 2 3'
_cell_length_a 7.6354
_cell_length_b 7.6354
_cell_length_c 7.6354
_cell_angle_alpha 90.00
_cell_angle_beta 90.00
_cell_angle_gamma 90.00
loop_
_atom_site_label
_atom_site_type_symbol
_atom_site_fract_x
_atom_site_fract_y
_atom_site_fract_z
Sr1 Sr 0.0000 0.0000 0.0000
Ac1 Ac 0.0000 0.0000 0.5000
Hg1 Hg 0.2500 0.2500 0.2500
Ir1 Ir 0.2500 0.2500 0.7500
```